A relaxed LuGe2Pd crystal. Source: the Alexandria database, functional PBE.

Output
Its space group is P4/mmm, No. 123. The value obtained for the calculated volume is 18.22 Å³ per atom. The energy relative to the elements is -576 meV/atom. For the uncorrected energy, the calculation gives -21.25 eV/f.u.

a b c (Å): 4.2130 4.2130 4.1063
angles (deg): 90.00 90.00 90.00
Sites, in units of the cell vectors:
1 Lu 0.0000 0.0000 0.0000
2 Ge 0.0000 0.5000 0.5000
3 Ge 0.5000 0.0000 0.5000
4 Pd 0.5000 0.5000 0.0000